VASP calculation (PBE) on a relaxed Ti2Ni2Mo crystal.

The structure in POSCAR format:
```
Ti2Ni2Mo
1.0
2.9480 0.0000 0.0000
0.0000 3.3254 0.6301
0.0000 0.3239 7.3809
Ti Ni Mo
2 2 1
Direct
0.5000 0.3854 0.2292
0.5000 0.6146 0.7708
0.0000 0.1937 0.6126
0.0000 0.8063 0.3874
0.0000 0.0000 0.0000
```

Properties
Total magnetization: 0.0 μB per cell
Formation energy from the elements: -0.157 eV/atom
Space group: Cmmm (65)
Energy relative to the lowest polymorph listed for this composition: 0.038 eV/atom

=====

VASP calculation (PBE) on a relaxed BeAs2W crystal.

The structure in POSCAR format:
```
BeAs2W
1.0
4.5202 -0.0039 0.0811
3.3260 3.0610 0.0811
0.8449 0.3292 5.4875
Be As W
1 2 1
Direct
0.4744 0.4744 0.5847
0.0112 0.0112 0.8670
0.2693 0.2693 0.3507
0.7451 0.7451 0.6976
```

Properties
Total magnetization: 0.0 μB per cell
Formation energy from the elements: 0.275 eV/atom
Space group: Cm (8)